# MnReBr2

Crystalline MnReBr2 at its relaxed geometry (GGA-PBE, Alexandria).

Unit cell a=3.1507 b=4.3198 c=14.8579 alpha=90.00 beta=90.00 gamma=90.00
Space group Immm (No. 71)
Unique sites:
Mn  0.0000  0.0000  0.0000 x2
Re  0.0000  0.0000  0.5000 x2
Br  0.0000  0.5000  0.1391 x4

## Properties
VASP energy = -5.8243 eV per atom
Distance to the lowest polymorph of the same formula = 208 meV per atom